# CeAlPd2 (SCAN, single point on PBEsol structure)
data_CeAlPd2
_space_group_name_H-M_alt 'P 1'
_space_group_IT_number 1
_space_group_name_Hall 'P 1'
_cell_length_a 7.409
_cell_length_b 6.872
_cell_length_c 5.812
_cell_angle_alpha 90.00
_cell_angle_beta 90.00
_cell_angle_gamma 90.00
loop_
_atom_site_label
_atom_site_fract_x
_atom_site_fract_y
_atom_site_fract_z
Ce1 0.036 0.250 0.160
Ce2 0.464 0.750 0.660
Ce3 0.536 0.250 0.340
Ce4 0.964 0.750 0.840
Al1 0.115 0.750 0.338
Al2 0.385 0.250 0.838
Al3 0.615 0.750 0.162
Al4 0.885 0.250 0.662
Pd1 0.181 0.050 0.582
Pd2 0.181 0.450 0.582
Pd3 0.319 0.550 0.082
Pd4 0.319 0.950 0.082
Pd5 0.681 0.050 0.918
Pd6 0.681 0.450 0.918
Pd7 0.819 0.550 0.418
Pd8 0.819 0.950 0.418
# N(E_F) in states/eV per cell: 16.6
# ρ in g/cm³: 8.5
# Total magnetic moment in μB per formula unit: 0.9
# ΔH_f (0 K) in eV/f.u.: -3.7
# Total energy in eV/cell: -486.31